No. 1
Below is an optimized crystal structure of Fe2CuTc, with properties calculated at the PBE level.

Unit cell a=3.7004 b=3.6472 c=3.6472 alpha=90.00 beta=90.00 gamma=90.00
With the nearest neighbours (Å) after each atom.
Fractional positions:
Cu (0.5000, 0.0000, 0.5000)  4 Tc 2.58, 8 Fe 2.60
Fe (0.0000, 0.5000, 0.5000)  4 Fe 2.58, 4 Cu 2.60, 4 Tc 2.60
Fe (0.0000, 0.0000, 0.0000)  4 Fe 2.58, 4 Tc 2.60, 4 Cu 2.60
Tc (0.5000, 0.5000, 0.0000)  4 Cu 2.58, 8 Fe 2.60

Calculated values
V (Å³/cell): 49.2
SG: P4/mmm
Crystal system: tetragonal
Energy (eV/atom): -7.59
Formation energy from the elements (eV/atom): 0.26

---

No. 2
Below is an optimized crystal structure of Ti2FeCuTc, with properties calculated at the PBE level.

Unit cell a=4.3010 b=4.3796 c=4.3010 alpha=90.00 beta=90.00 gamma=90.00
With the nearest neighbours (Å) after each atom.
Fractional positions:
Fe (0.0000, 0.0000, 0.0000)  4 Ti 2.15, 2 Cu 2.19
Ti (0.5000, 0.0000, 0.0000)  2 Fe 2.15
Cu (0.0000, 0.5000, 0.0000)  2 Fe 2.19
Ti (0.0000, 0.0000, 0.5000)  2 Fe 2.15
Tc (0.5000, 0.5000, 0.5000)  4 Cu 3.04, 8 Ti 3.07

Calculated values
V (Å³/cell): 81.0
SG: P4/mmm
Crystal system: tetragonal
Energy (eV/atom): -7.04
Formation energy from the elements (eV/atom): 0.70